No. 1
The following is a PBE calculation of a geometry-optimized Tb5Te2Se5 structure, from Alexandria via LeMat-Bulk.

Properties
The calculation puts the uncorrected formation energy at -165 kJ per mole of atoms. As for the space group: C2/m. The density of states at the Fermi level comes out at 0.178 states/eV per atom.

Unit cell a=4.023 b=7.108 c=12.661 alpha=102.16 beta=90.00 gamma=106.44
Positions (direct):
1 Tb 0.118 0.236 0.435
2 Tb 0.717 0.434 0.818
3 Tb 0.283 0.566 0.182
4 Tb 0.882 0.764 0.565
5 Tb 0.000 0.000 0.000
6 Te 0.041 0.081 0.777
7 Te 0.959 0.919 0.223
8 Se 0.500 0.000 0.500
9 Se 0.657 0.314 0.047
10 Se 0.737 0.474 0.352
11 Se 0.263 0.526 0.648
12 Se 0.343 0.686 0.953

=====

No. 2
The following is a PBE calculation of a geometry-optimized Cd12InAg6 structure, from Alexandria via LeMat-Bulk.

Properties
As for the space group: R-3m. The density of states at the Fermi level comes out at 0.333 states/eV per atom. The value obtained for the energy above the most stable polymorph in this dataset is 44 meV per atom. Its energy of formation is 0.043 eV/atom.

Unit cell a=7.983 b=7.983 c=7.983 alpha=106.08 beta=106.08 gamma=106.08
Positions (direct):
1 Cd 0.885 0.115 0.500
2 Cd 0.890 0.640 0.640
3 Cd 0.640 0.640 0.890
4 Cd 0.360 0.110 0.360
5 Cd 0.360 0.360 0.110
6 Cd 0.110 0.360 0.360
7 Cd 0.115 0.500 0.885
8 Cd 0.500 0.885 0.115
9 Cd 0.115 0.885 0.500
10 Cd 0.885 0.500 0.115
11 Cd 0.500 0.115 0.885
12 Cd 0.640 0.890 0.640
13 In 0.000 0.000 0.000
14 Ag 0.694 0.301 0.301
15 Ag 0.301 0.301 0.694
16 Ag 0.301 0.694 0.301
17 Ag 0.699 0.699 0.306
18 Ag 0.306 0.699 0.699
19 Ag 0.699 0.306 0.699